Crystalline InP at its relaxed geometry. Source: Alexandria via LeMat-Bulk, functional GGA-PBE.

As for the magnetization: 0.00 μB per formula unit. The calculation puts the energy of formation at -0.210 eV/atom.

a = 4.2004 Å, b = 4.2004 Å, c = 6.8933 Å
α = 90.00°, β = 90.00°, γ = 120.00°
Space group P6_3mc (No. 186)
Unique sites:
In: 0.3333 0.6667 0.0000 (multiplicity 2)
P: 0.3333 0.6667 0.3746 (multiplicity 2)



Crystalline PmUOs2 at its relaxed geometry. Source: Alexandria via LeMat-Bulk, functional GGA-PBE.

As for the magnetization: 0.00 μB per formula unit. The polymorph energy (0 for the lowest one) is 0.004 eV per atom. The calculation puts the energy of formation at -0.059 eV/atom.

a = 3.398 Å, b = 3.398 Å, c = 7.193 Å
α = 90.00°, β = 90.00°, γ = 90.00°
Space group P4/mmm (No. 123)
Unique sites:
Pm: 0.000 0.000 0.000 (multiplicity 1)
U: 0.000 0.000 0.500 (multiplicity 1)
Os: 0.500 0.500 0.297 (multiplicity 2)



Crystalline CsC at its relaxed geometry. Source: Alexandria via LeMat-Bulk, functional GGA-PBE.

As for the magnetization: 3.00 μB per formula unit. The polymorph energy (0 for the lowest one) is 2.013 eV per atom. The calculation puts the energy of formation at 2.322 eV/atom.

a = 7.456 Å, b = 7.456 Å, c = 7.456 Å
α = 90.00°, β = 90.00°, γ = 90.00°
Space group F-43m (No. 216)
Unique sites:
Cs: 0.000 0.000 0.000 (multiplicity 4)
C: 0.250 0.250 0.250 (multiplicity 4)



Crystalline Ce2USi3Pt4 at its relaxed geometry. Source: Alexandria via LeMat-Bulk, functional GGA-PBE.

As for the magnetization: 3.66 μB per formula unit. The value obtained for the uncorrected formation energy is -9.023 eV per formula unit.

a = 4.265 Å, b = 4.265 Å, c = 10.778 Å
α = 90.00°, β = 90.00°, γ = 90.00°
Space group P-4m2 (No. 115)
Unique sites:
Ce: 0.000 0.500 0.236 (multiplicity 2)
U: 0.000 0.000 0.500 (multiplicity 1)
Si: 0.000 0.500 0.883 (multiplicity 2)
Si: 0.500 0.500 0.500 (multiplicity 1)
Pt: 0.000 0.000 0.000 (multiplicity 1)
Pt: 0.000 0.500 0.662 (multiplicity 2)
Pt: 0.500 0.500 0.000 (multiplicity 1)



Crystalline Ba3Mg2SnO6 at its relaxed geometry. Source: Alexandria via LeMat-Bulk, functional GGA-PBE.

As for the magnetization: 0.72 μB per formula unit. The value obtained for the uncorrected formation energy is -25.684 eV per formula unit.

a = 5.9961 Å, b = 5.9961 Å, c = 7.2062 Å
α = 90.00°, β = 90.00°, γ = 120.00°
Space group P-3m1 (No. 164)
Unique sites:
Ba: 0.0000 0.0000 0.0000 (multiplicity 1)
Ba: 0.3333 0.6667 0.6440 (multiplicity 2)
Mg: 0.3333 0.6667 0.2102 (multiplicity 2)
Sn: 0.0000 0.0000 0.5000 (multiplicity 1)
O: 0.1628 0.3256 0.3246 (multiplicity 6)



Crystalline BaNiSb2 at its relaxed geometry. Source: Alexandria via LeMat-Bulk, functional GGA-PBE.

As for the magnetization: 0.00 μB per formula unit. The value obtained for the uncorrected formation energy is -2.300 eV per formula unit.

a = 6.413 Å, b = 22.856 Å, c = 6.340 Å
α = 90.00°, β = 90.00°, γ = 90.00°
Space group Fmm2 (No. 42)
Unique sites:
Ba: 0.000 0.123 0.000 (multiplicity 8)
Ni: 0.250 0.250 0.250 (multiplicity 8)
Sb: 0.000 0.198 0.499 (multiplicity 8)
Sb: 0.227 0.000 0.266 (multiplicity 8)



| no. | E (eV for the cell shown) |
| --- | --- |
| 1 | -17.1 |
| 2 | -38.7 |
| 3 | -21.7 |
| 4 | -72.6 |
| 5 | -68.4 |
| 6 | -146.0 |